## CaCoOs2 (PBE)

Data for a relaxed structure of CaCoOs2.

Cell and atoms, written as extended XYZ:
```
4
Lattice="-2.297 -3.768 8.246 0.423 -4.332 8.278 -0.493 -1.859 9.153" Properties=species:S:1:pos:R:3 pbc="T T T"
Os -0.024 -0.102 0.264
Ca -0.592 -2.490 6.419
Os -1.159 -4.877 12.574
Co -1.776 -7.470 19.258
```

Values from the calculation:
For the density of states at the Fermi level, the calculation gives 4.1 states/eV/cell. The calculation puts the energy above the most stable polymorph in this dataset at 26.1 kJ per mole of atoms. The total DFT energy (no corrections) is -29.1 eV per formula unit.